Computed, not measured: a geometry-optimized Ho4Cd5Hg structure at the PBE-GGA level of DFT.

Values from the calculation:
The total DFT energy (no corrections) comes out at -2.64 eV per atom. The calculation puts the formation energy at -7.36 kcal/mol of atoms. The spin magnetization is 0.000 μB per atom. Its symmetry is C2/m (12). The theoretical density comes out at 9.49 g/cm3.

abc: 5.1106 6.4953 8.2080
angles: 105.19 108.14 90.00
Sites, in units of the cell vectors:
Cd: 0.2975 0.1921 0.5951
Cd: 0.8996 0.5849 0.7993
Cd: 0.5000 0.5000 0.0000
Cd: 0.1004 0.4151 0.2007
Cd: 0.7025 0.8079 0.4049
Ho: 0.3093 0.6922 0.6186
Ho: 0.6907 0.3078 0.3814
Ho: 0.9041 0.1109 0.8083
Ho: 0.0959 0.8891 0.1917
Hg: 0.5000 0.0000 0.0000